Compound: Ce3NdSm2P6
Source: Alexandria via LeMat-Bulk
Functional: PBE
Structure: optimized geometry

Properties
As for the density of states at the Fermi level: 1.1892 states/eV/atom. The total magnetization comes out at 1.443 μB/f.u. The calculation puts the formation energy from the elements at -1.54 eV/atom. For the raw total energy, the calculation gives -165.84 eV per cell.

CIF file:
```
data_Ce3NdSm2P6
_chemical_formula_sum 'Ce6 Nd2 Sm4 P12'
_cell_length_a 7.112
_cell_length_b 12.320
_cell_length_c 7.110
_cell_angle_alpha 90.00
_cell_angle_beta 109.48
_cell_angle_gamma 90.00
_space_group_name_H-M_alt 'C 1 2/m 1'
_space_group_IT_number 12
_space_group_name_Hall '-C 2y'
loop_
_atom_site_label
_atom_site_type_symbol
_atom_site_fract_x
_atom_site_fract_y
_atom_site_fract_z
Ce1 Ce 0.000 0.000 0.000
Ce2 Ce 0.000 0.334 0.000
Nd1 Nd 0.000 0.500 0.500
Sm1 Sm 0.000 0.167 0.500
P1 P 0.247 0.168 0.245
P2 P 0.250 0.000 0.755
```